# 1
## ZrBe2InMo (PBE-GGA)

Data for ZrBe2InMo after structural relaxation.

Geometry as CIF:
```
data_ZrBe2InMo
_chemical_formula_sum 'Zr1 Be2 In1 Mo1'
_cell_length_a 4.517
_cell_length_b 4.517
_cell_length_c 4.908
_cell_angle_alpha 90.00
_cell_angle_beta 90.00
_cell_angle_gamma 90.00
_symmetry_space_group_name_H-M 'P 4/m m m'
_symmetry_Int_Tables_number 123
_symmetry_space_group_name_Hall '-P 4 2'
loop_
_atom_site_label
_atom_site_fract_x
_atom_site_fract_y
_atom_site_fract_z
_atom_site_occupancy
Zr1 0.000 0.000 0.000 1
Be1 0.000 0.500 0.500 1
In1 0.500 0.500 0.000 1
Mo1 0.000 0.000 0.500 1
```

Calculated values
For the uncorrected energy, the calculation gives -5.07 eV/atom.

# 2
## BeInN3 (PBE-GGA)

Data for BeInN3 after structural relaxation.

Geometry as CIF:
```
data_BeInN3
_chemical_formula_sum 'Be1 In1 N3'
_cell_length_a 3.594
_cell_length_b 3.594
_cell_length_c 3.594
_cell_angle_alpha 90.00
_cell_angle_beta 90.00
_cell_angle_gamma 90.00
_symmetry_space_group_name_H-M 'P m -3 m'
_symmetry_Int_Tables_number 221
_symmetry_space_group_name_Hall '-P 4 2 3'
loop_
_atom_site_label
_atom_site_fract_x
_atom_site_fract_y
_atom_site_fract_z
_atom_site_occupancy
Be1 0.000 0.000 0.000 1
In1 0.500 0.500 0.500 1
N1 0.000 0.000 0.500 1
```

Calculated values
As for the uncorrected formation energy: 1300 meV per atom.

# 3
## BeInN3 (PBE-GGA)

Data for BeInN3 after structural relaxation.

Geometry as CIF:
```
data_BeInN3
_chemical_formula_sum 'Be1 In1 N3'
_cell_length_a 4.209
_cell_length_b 4.209
_cell_length_c 4.209
_cell_angle_alpha 90.00
_cell_angle_beta 90.00
_cell_angle_gamma 90.00
_symmetry_space_group_name_H-M 'P m -3 m'
_symmetry_Int_Tables_number 221
_symmetry_space_group_name_Hall '-P 4 2 3'
loop_
_atom_site_label
_atom_site_fract_x
_atom_site_fract_y
_atom_site_fract_z
_atom_site_occupancy
Be1 0.000 0.000 0.000 1
In1 0.500 0.500 0.500 1
N1 0.000 0.500 0.500 1
```

Calculated values
As for the uncorrected formation energy: 2399 meV per atom.

# 4
## Be3InN (PBE-GGA)

Data for Be3InN after structural relaxation.

Geometry as CIF:
```
data_Be3InN
_chemical_formula_sum 'Be3 In1 N1'
_cell_length_a 3.753
_cell_length_b 3.753
_cell_length_c 3.753
_cell_angle_alpha 90.00
_cell_angle_beta 90.00
_cell_angle_gamma 90.00
_symmetry_space_group_name_H-M 'P m -3 m'
_symmetry_Int_Tables_number 221
_symmetry_space_group_name_Hall '-P 4 2 3'
loop_
_atom_site_label
_atom_site_fract_x
_atom_site_fract_y
_atom_site_fract_z
_atom_site_occupancy
Be1 0.000 0.000 0.500 1
In1 0.500 0.500 0.500 1
N1 0.000 0.000 0.000 1
```

Calculated values
Its polymorph energy (0 for the lowest one) is 0.0 meV/atom. As for the uncorrected formation energy: 247 meV per atom.

# 5
## Be3InN (PBE-GGA)

Data for Be3InN after structural relaxation.

Geometry as CIF:
```
data_Be3InN
_chemical_formula_sum 'Be3 In1 N1'
_cell_length_a 4.541
_cell_length_b 4.541
_cell_length_c 4.541
_cell_angle_alpha 90.00
_cell_angle_beta 90.00
_cell_angle_gamma 90.00
_symmetry_space_group_name_H-M 'P m -3 m'
_symmetry_Int_Tables_number 221
_symmetry_space_group_name_Hall '-P 4 2 3'
loop_
_atom_site_label
_atom_site_fract_x
_atom_site_fract_y
_atom_site_fract_z
_atom_site_occupancy
Be1 0.000 0.000 0.500 1
In1 0.000 0.000 0.000 1
N1 0.500 0.500 0.500 1
```

Calculated values
Its polymorph energy (0 for the lowest one) is 1770.5 meV/atom. As for the uncorrected formation energy: 2017 meV per atom.

# 6
## BeInNi2N (PBE-GGA)

Data for BeInNi2N after structural relaxation.

Geometry as CIF:
```
data_BeInNi2N
_chemical_formula_sum 'Be1 In1 Ni2 N1'
_cell_length_a 4.744
_cell_length_b 4.744
_cell_length_c 4.494
_cell_angle_alpha 90.00
_cell_angle_beta 90.00
_cell_angle_gamma 90.00
_symmetry_space_group_name_H-M 'P 4/m m m'
_symmetry_Int_Tables_number 123
_symmetry_space_group_name_Hall '-P 4 2'
loop_
_atom_site_label
_atom_site_fract_x
_atom_site_fract_y
_atom_site_fract_z
_atom_site_occupancy
Be1 0.000 0.000 0.000 1
In1 0.000 0.000 0.500 1
Ni1 0.000 0.500 0.500 1
N1 0.500 0.500 0.000 1
```

Calculated values
As for the uncorrected formation energy: 2230 meV per atom.

# 7
## BeInNO2 (PBE-GGA)

Data for BeInNO2 after structural relaxation.

Geometry as CIF:
```
data_BeInNO2
_chemical_formula_sum 'Be1 In1 N1 O2'
_cell_length_a 4.130
_cell_length_b 4.130
_cell_length_c 4.156
_cell_angle_alpha 90.00
_cell_angle_beta 90.00
_cell_angle_gamma 90.00
_symmetry_space_group_name_H-M 'P 4/m m m'
_symmetry_Int_Tables_number 123
_symmetry_space_group_name_Hall '-P 4 2'
loop_
_atom_site_label
_atom_site_fract_x
_atom_site_fract_y
_atom_site_fract_z
_atom_site_occupancy
Be1 0.000 0.000 0.000 1
In1 0.500 0.500 0.500 1
N1 0.500 0.500 0.000 1
O1 0.000 0.500 0.500 1
```

Calculated values
As for the uncorrected formation energy: 832 meV per atom.

# 8
## BeInPt2N (PBE-GGA)

Data for BeInPt2N after structural relaxation.

Geometry as CIF:
```
data_BeInPt2N
_chemical_formula_sum 'Be1 In1 Pt2 N1'
_cell_length_a 4.144
_cell_length_b 4.144
_cell_length_c 4.731
_cell_angle_alpha 90.00
_cell_angle_beta 90.00
_cell_angle_gamma 90.00
_symmetry_space_group_name_H-M 'P 4/m m m'
_symmetry_Int_Tables_number 123
_symmetry_space_group_name_Hall '-P 4 2'
loop_
_atom_site_label
_atom_site_fract_x
_atom_site_fract_y
_atom_site_fract_z
_atom_site_occupancy
Be1 0.000 0.000 0.000 1
In1 0.000 0.000 0.500 1
Pt1 0.000 0.500 0.000 1
N1 0.500 0.500 0.500 1
```

Calculated values
As for the uncorrected formation energy: 1054 meV per atom.

Which formula does entry 3 have?
BeInN3